# PBE-GGA BaHfZn2I, relaxed
# - final energy (eV for the cell shown) = -10.74
# - N(E_F) (states/eV/cell) = 7.5
# - energy relative to the elements, uncorrected (meV/atom) = 1047
# - total magnetic moment (Bohr magnetons per cell) = 2.3
data_BaHfZn2I
_chemical_formula_sum 'Ba1 Hf1 Zn2 I1'
_space_group_name_H-M_alt 'P 4/m m m'
_space_group_IT_number 123
_space_group_name_Hall '-P 4 2'
_cell_length_a 5.545
_cell_length_b 5.545
_cell_length_c 6.312
_cell_angle_alpha 90.00
_cell_angle_beta 90.00
_cell_angle_gamma 90.00
loop_
_atom_site_label
_atom_site_fract_x
_atom_site_fract_y
_atom_site_fract_z
Ba1 0.000 0.000 0.000
Hf1 0.500 0.500 0.000
Zn1 0.000 0.500 0.500
I1 0.000 0.000 0.500

***

# PBE-GGA SrNbAgRu2, relaxed
# - final energy (eV for the cell shown) = -29.64
# - N(E_F) (states/eV/cell) = 4.1
# - total magnetic moment (Bohr magnetons per cell) = 0.0
# - formation enthalpy at 0 K (meV per atom) = 702.2
data_SrNbAgRu2
_chemical_formula_sum 'Sr1 Nb1 Ag1 Ru2'
_space_group_name_H-M_alt 'P 4/m m m'
_space_group_IT_number 123
_space_group_name_Hall '-P 4 2'
_cell_length_a 4.752
_cell_length_b 4.752
_cell_length_c 5.320
_cell_angle_alpha 90.00
_cell_angle_beta 90.00
_cell_angle_gamma 90.00
loop_
_atom_site_label
_atom_site_fract_x
_atom_site_fract_y
_atom_site_fract_z
Sr1 0.000 0.000 0.000
Nb1 0.500 0.500 0.500
Ag1 0.500 0.500 0.000
Ru1 0.000 0.500 0.500